(1)
3
Lattice="-5.734 -1.477 -1.274 -2.897 -2.172 -4.855 4.709 -0.332 3.795" Properties=species:S:1:pos:R:3 comment="BeSiTe PBE-GGA relaxed" relative_energy_mev_per_atom=491 magnetic_moment_mub_per_cell=0.00 space_group="No. 107" e_form_raw_ev_per_atom=0.44 mass_density_g_cm3=4.57 pbc="T T T"
Be -7.709 -3.260 -5.475
Si -3.755 -1.587 -2.666
Te -5.799 -2.452 -4.118



(2)
3
Lattice="3.294 -0.031 -0.007 -0.113 3.791 -0.013 -1.507 -1.914 3.969" Properties=species:S:1:pos:R:3 comment="GePN PBE-GGA relaxed" relative_energy_mev_per_atom=192 magnetic_moment_mub_per_cell=0.00 space_group="No. 1" e_form_raw_ev_per_atom=0.29 mass_density_g_cm3=3.95 pbc="T T T"
Ge 1.442 0.687 3.122
P 0.770 2.553 1.796
N 1.300 2.682 0.200



(3)
4
Lattice="-7.057 1.231 1.999 -6.597 -2.308 2.544 0.271 0.473 2.839" Properties=species:S:1:pos:R:3 comment="BeHg2Ir PBE-GGA relaxed" magnetic_moment_mub_per_cell=0.00 space_group="No. 12" mass_density_g_cm3=13.58 ef_ev_per_atom=0.081 pbc="T T T"
Be -3.346 -0.151 1.845
Ir -10.037 -0.453 5.536
Hg -12.567 -0.956 4.404
Hg -7.779 -0.422 3.829



(4)
80
Lattice="-7.019 -8.690 -7.685 10.286 5.114 -7.204 4.875 -6.490 10.861" Properties=species:S:1:pos:R:3 comment="Mg5Cl12F3 PBE-GGA relaxed" magnetic_moment_mub_per_cell=20.22 space_group="No. 230" e_form_raw_ev_per_atom=-1.11 mass_density_g_cm3=2.09 pbc="T T T"
F -0.798 -5.411 -7.108
F 2.182 -4.580 -10.770
F 8.129 -3.480 -1.497
F 1.359 -3.967 1.251
F -3.637 -8.587 -4.910
F 5.015 -1.685 -4.669
F 3.127 -8.381 0.641
F 11.779 -1.479 0.882
F 6.783 -6.099 -5.279
F 0.013 -6.587 -2.531
F 5.960 -5.487 6.742
F 8.940 -4.655 3.080
Mg 4.199 -0.791 -0.947
Mg 5.143 2.557 -3.602
Mg 0.000 0.000 0.000
Mg 0.549 -2.792 -3.325
Mg -1.072 -7.590 1.588
Mg 1.633 -1.788 -7.444
Mg 8.665 0.315 -2.291
Mg 0.287 -11.558 2.839
Mg 2.993 -5.755 -6.193
Mg 2.310 -7.487 4.363
Mg 5.832 -2.579 -8.391
Mg 4.071 -5.033 -2.014
Mg -3.510 -4.345 -3.843
Mg 2.438 -3.245 5.430
Mg 5.149 -4.311 2.165
Mg 7.855 1.491 -6.867
Mg 7.581 -0.688 1.829
Mg -0.523 -10.382 -1.737
Mg 7.593 -7.275 -0.703
Mg 3.943 -9.276 -3.081
Cl -3.731 -5.740 -5.928
Cl 5.189 -2.799 -1.697
Cl -1.370 -8.382 -7.128
Cl -1.046 -4.202 -4.346
Cl 6.376 -6.012 -2.283
Cl 0.028 -6.673 -9.730
Cl 7.893 -1.316 -3.813
Cl 9.217 3.198 -5.968
Cl 9.265 -4.495 -4.110
Cl 2.085 -4.245 -7.765
Cl 1.230 -7.023 -5.266
Cl 3.805 -2.585 -12.637
Cl 9.060 -0.727 -0.209
Cl 2.013 -1.918 -4.958
Cl 10.661 1.287 -3.096
Cl 1.123 -6.726 2.470
Cl 2.173 -1.261 0.171
Cl 4.070 -1.188 -7.662
Cl 4.963 -4.418 -9.590
Cl 3.784 0.587 -2.819
Cl 11.152 -3.583 -1.417
Cl 4.113 -4.567 -4.488
Cl 4.542 -7.186 -7.254
Cl 2.100 -11.127 1.389
Cl 4.029 -5.500 0.461
Cl 3.600 -2.880 3.226
Cl 6.042 1.060 -5.417
Cl 3.179 -5.648 5.562
Cl -3.010 -6.484 -2.611
Cl 4.358 -10.654 -1.209
Cl 4.073 -8.879 3.635
Cl 7.019 -3.341 -6.498
Cl 5.969 -8.805 -4.199
Cl -2.519 -11.354 -0.932
Cl -0.918 -9.340 -3.819
Cl 4.337 -7.482 8.609
Cl 6.129 -8.148 0.930
Cl -1.123 -5.572 0.082
Cl 6.057 -5.822 3.737
Cl 6.912 -3.043 1.238
Cl -1.075 -13.264 1.941
Cl 0.249 -8.751 -0.215
Cl 9.188 -5.865 0.318
Cl 8.114 -3.394 5.702
Cl 1.766 -4.055 -1.745
Cl 9.512 -1.685 3.100
Cl 2.953 -7.268 -2.331
Cl 11.873 -4.326 1.900



(5)
29
Lattice="-10.755 1.257 2.539 -4.921 -7.084 7.021 -2.953 3.400 10.170" Properties=species:S:1:pos:R:3 comment="Nd6Ho16Er7 PBE-GGA relaxed" magnetic_moment_mub_per_cell=0.22 space_group="No. 225" mass_density_g_cm3=7.98 ef_ev_per_atom=0.239 pbc="T T T"
Nd -7.334 -3.861 8.583
Nd -11.296 1.434 11.147
Nd -9.965 -0.100 6.561
Nd -8.665 -2.328 13.169
Nd -12.184 -3.294 9.728
Nd -6.446 0.867 10.003
Ho -14.823 -3.821 12.183
Ho -16.298 -2.124 17.260
Ho -13.840 1.414 13.755
Ho -10.928 -2.751 15.993
Ho -2.332 -0.304 2.470
Ho -3.806 1.394 7.548
Ho -4.789 -3.841 5.975
Ho -7.702 0.324 3.737
Ho -10.349 -3.645 6.686
Ho -12.142 -1.582 12.859
Ho -9.155 2.718 8.597
Ho -5.614 -2.345 11.318
Ho -6.488 -0.845 6.871
Ho -8.280 1.218 13.044
Ho -9.475 -5.145 11.133
Ho -13.016 -0.082 8.412
Er 0.000 0.000 0.000
Er -6.854 2.328 6.354
Er -2.461 -3.542 3.511
Er -3.937 -1.842 8.596
Er -5.378 0.629 1.269
Er -1.476 1.700 5.085
Er -7.838 -2.914 4.780



(6)
10
Lattice="-5.640 -4.257 -2.320 4.843 -5.109 -2.401 -0.094 -1.426 2.844" Properties=species:S:1:pos:R:3 comment="YZn2Pd2 PBE-GGA relaxed" relative_energy_mev_per_atom=110 magnetic_moment_mub_per_cell=0.00 space_group="No. 127" mass_density_g_cm3=8.16 ef_ev_per_atom=-0.526 pbc="T T T"
Y 0.000 0.000 0.000
Y -0.398 -4.683 -2.361
Zn 2.255 -4.680 -0.491
Zn 0.395 -7.822 -2.127
Zn -3.145 -6.111 -1.386
Zn -1.285 -2.970 0.250
Pd 2.136 -5.910 -2.892
Pd -1.733 -6.932 -3.532
Pd -2.933 -3.456 -1.829
Pd 0.936 -2.434 -1.189



(7)
28
Lattice="-1.311 -5.392 -0.600 3.372 -1.520 6.293 -8.548 1.527 4.949" Properties=species:S:1:pos:R:3 comment="LiAg2F4 PBE-GGA relaxed" relative_energy_mev_per_atom=17 magnetic_moment_mub_per_cell=4.22 space_group="No. 62" e_form_raw_ev_per_atom=-1.58 mass_density_g_cm3=4.87 pbc="T T T"
Li 0.397 -3.421 5.311
Li -3.195 -5.133 2.588
Li -3.292 -0.252 8.053
Li -6.884 -1.964 5.331
Ag 0.000 0.000 0.000
Ag 1.686 -0.760 3.146
Ag -1.202 -2.706 2.107
Ag -1.610 -5.905 5.786
Ag -4.929 -1.932 2.174
Ag -3.243 -2.692 5.321
Ag -4.877 0.520 4.856
Ag -5.285 -2.679 8.535
F 0.377 -2.306 3.771
F 1.826 -2.960 6.476
F 0.451 -5.236 4.843
F -1.474 -5.001 1.698
F -1.119 -2.711 6.295
F -2.780 -1.387 3.271
F -4.198 -3.843 1.618
F -2.749 -4.496 4.323
F -3.738 -0.888 6.319
F -2.288 -1.542 9.023
F -3.707 -3.997 7.371
F -5.367 -2.674 4.347
F -5.013 -0.384 8.943
F -6.938 -0.148 5.798
F -8.313 -2.425 4.166
F -6.864 -3.078 6.870



(8)
5
Lattice="4.159 0.000 0.000 0.000 3.943 0.000 0.000 0.000 4.159" Properties=species:S:1:pos:R:3 comment="BeCrRe2W PBE-GGA relaxed" magnetic_moment_mub_per_cell=0.00 space_group="No. 123" mass_density_g_cm3=15.03 ef_ev_per_atom=0.639 pbc="T T T"
Re 0.000 0.000 2.079
Re 2.079 0.000 0.000
Be 0.000 0.000 0.000
W 2.079 1.972 2.079
Cr 0.000 1.972 0.000